VASP calculation (GGA-PBE) on crystalline La2HgPd3 at its relaxed geometry.

CIF file:
```
data_La2HgPd3
_chemical_formula_sum 'La16 Hg8 Pd24'
_space_group_name_H-M_alt 'F m m m'
_space_group_IT_number 69
_space_group_name_Hall '-F 2 2'
_cell_length_a 7.585
_cell_length_b 9.928
_cell_length_c 15.311
_cell_angle_alpha 90.00
_cell_angle_beta 90.00
_cell_angle_gamma 90.00
loop_
_atom_site_label
_atom_site_fract_x
_atom_site_fract_y
_atom_site_fract_z
La1 0.245 0.000 0.000
La2 0.250 0.250 0.250
Hg1 0.000 0.000 0.328
Pd1 0.000 0.000 0.150
Pd2 0.000 0.245 0.411
```

Values from the calculation:
Crystal system: orthorhombic
Energy of formation from the pure elements: -693 meV/atom